Density functional theory data (PBE-GGA) for a relaxed structure of Sr2LiRu.

## Properties
E_tot, eV for the cell shown: -12.374
Total magnetization, μB/f.u.: 0.0
DOS(E_F), states/eV per atom: 0.9004
Calculated formation energy, meV per atom: 545

Cell: 5.2343 5.2343 5.2343 Å, 60.00 60.00 60.00°
Last column: nearest neighbours and their distance in Å.
Element x y z (fractional)
Li 0.5000 0.5000 0.5000  4 Ru 3.21, 4 Sr 3.21
Ru 0.7500 0.7500 0.7500  4 Li 3.21, 4 Sr 3.21
Sr 0.0000 0.0000 0.0000  4 Ru 3.21, 4 Sr 3.21
Sr 0.2500 0.2500 0.2500  4 Li 3.21, 4 Sr 3.21